VASP calculation (GGA-PBE) on a geometry-optimized Cs3SiPt structure.

Cell lengths 6.6161, 6.6161, 6.6161 Å; angles 90.00, 90.00, 90.00 degrees
Closest atoms and distances in Å follow each position.
Fractional coordinates of all 5 atoms:
1 Cs 0.0000 0.5000 0.0000  2 Pt 3.31
2 Cs 0.0000 0.0000 0.5000  2 Pt 3.31
3 Cs 0.5000 0.0000 0.0000  2 Pt 3.31
4 Si 0.5000 0.5000 0.5000  12 Cs 4.68
5 Pt 0.0000 0.0000 0.0000  6 Cs 3.31

Total magnetization   3.000 μB/cell
Formation energy from raw total energies   2.1 eV/f.u.
Excess energy over the best structure of this formula in the dataset   0.00 eV/f.u.
Crystal system   cubic

---

VASP calculation (GGA-PBE) on a geometry-optimized NaSn8Au2 structure.

Cell lengths 4.9599, 8.0746, 8.0746 Å; angles 112.42, 97.20, 97.20 degrees
Closest atoms and distances in Å follow each position.
Fractional coordinates of all 11 atoms:
1 Na 0.5000 0.0000 0.0000  12 Sn 3.18-3.56
2 Sn 0.9048 0.9352 0.6707  1 Au 2.89
3 Sn 0.9048 0.6707 0.9352  1 Au 2.89
4 Sn 0.3528 0.6298 0.6298  2 Au 2.86, 1 Sn 3.02
5 Sn 0.5000 0.7632 0.2368  2 Au 2.83
6 Sn 0.5000 0.2368 0.7632  2 Au 2.83
7 Sn 0.6472 0.3702 0.3702  2 Au 2.86, 1 Sn 3.02
8 Sn 0.0952 0.3293 0.0648  1 Au 2.89
9 Sn 0.0952 0.0648 0.3293  1 Au 2.89
10 Au 0.0000 0.3385 0.6615  6 Sn 2.83-2.89
11 Au 0.0000 0.6615 0.3385  6 Sn 2.83-2.89

Total magnetization   0.000 μB/cell
Excess energy over the best structure of this formula in the dataset   0.00 eV/f.u.
Crystal system   monoclinic

---

VASP calculation (GGA-PBE) on a geometry-optimized AlNiAu structure.

Cell lengths 4.1213, 4.1213, 4.1213 Å; angles 60.00, 60.00, 60.00 degrees
Closest atoms and distances in Å follow each position.
Fractional coordinates of all 3 atoms:
1 Ni 0.7500 0.7500 0.7500  4 Al 2.52, 4 Au 2.52
2 Au 0.5000 0.5000 0.5000  4 Ni 2.52
3 Al 0.0000 0.0000 0.0000  4 Ni 2.52

Total magnetization   0.000 μB/cell
E_tot   -4.446 eV per atom
Crystal system   cubic

---

Question: Which formula does entry 1 have?
Answer: Cs3SiPt

---

Question: Which of these has the highest total magnetization?
Answer: Cs3SiPt